H3OsPd: optimized geometry, PBEsol.

The total energy is -25.89 eV/f.u. Its total magnetization is 0.000 μB per atom.

Cell: 3.411 3.411 3.411 Å, 90.00 90.00 90.00°
Sites, in units of the cell vectors:
H 0.000 0.500 0.000
H 0.000 0.000 0.500
H 0.500 0.000 0.000
Os 0.000 0.000 0.000
Pd 0.500 0.500 0.500

---

H2OsPd2: optimized geometry, PBEsol.

The total energy is -28.30 eV/f.u. Its total magnetization is 0.000 μB per atom.

Cell: 4.165 4.165 4.165 Å, 99.44 114.71 114.71°
Sites, in units of the cell vectors:
H 0.000 0.682 0.682
H 0.000 0.318 0.318
Os 0.000 0.000 0.000
Pd 0.500 0.750 0.250
Pd 0.500 0.250 0.750

---

ZnHOs2Pt: optimized geometry, PBEsol.

The total energy is -23.57 eV/f.u. Its total magnetization is 0.301 μB per atom.

Cell: 4.709 4.724 4.724 Å, 90.00 90.00 90.00°
Site moments in Bohr magnetons follow the coordinates.
Sites, in units of the cell vectors:
H 0.500 0.500 0.500  0.00
Zn 0.500 0.000 0.000  -0.01
Os 0.000 0.000 0.500  0.68
Os 0.000 0.500 0.000  0.68
Pt 0.000 0.000 0.000  0.03

---

Rb2HOs: optimized geometry, PBEsol.

The total energy is -13.48 eV/f.u. Its total magnetization is 0.274 μB per atom.

Cell: 3.434 8.404 8.404 Å, 87.61 78.21 78.21°
Site moments in Bohr magnetons follow the coordinates.
Sites, in units of the cell vectors:
H 0.250 0.500 0.500  -0.01
H 0.500 0.000 0.000  -0.01
Os 0.750 0.500 0.500  1.13
Os 0.000 0.000 0.000  1.13
Rb 0.318 0.807 0.307  0.00
Rb 0.432 0.193 0.693  0.00
Rb 0.375 0.307 0.193  0.00
Rb 0.875 0.693 0.807  0.00

---

ZnReHOs2: optimized geometry, PBEsol.

The total energy is -35.81 eV/f.u. Its total magnetization is 0.000 μB per atom.

Cell: 3.134 4.781 4.781 Å, 90.00 90.00 90.00°
Sites, in units of the cell vectors:
Re 0.000 0.000 0.000
Zn 0.500 0.500 0.500
Os 0.000 0.000 0.500
Os 0.000 0.500 0.000
H 0.500 0.000 0.000

---

H2OsRh2: optimized geometry, PBEsol.

The total energy is -34.77 eV/f.u. Its total magnetization is 0.000 μB per atom.

Cell: 2.740 2.740 6.515 Å, 102.14 102.14 90.00°
Sites, in units of the cell vectors:
Os 0.000 0.000 0.000
Rh 0.352 0.352 0.703
Rh 0.648 0.648 0.297
H 0.250 0.750 0.500
H 0.750 0.250 0.500